The following is a DFT calculation (PBE-GGA) of a relaxed structure of YTm2MgTl4.

Output
energy of formation from the pure elements	-0.271	eV per atom
DOS at the Fermi energy	4.12	states/eV/cell
electronic total energy	-28.6	eV per cell

Lattice parameters (Å, degrees): 5.2308 5.2308 9.3521 73.76 73.76 60.00
With the nearest neighbours (Å) after each atom.
Fractional positions:
Tl: 0.1252 0.1252 0.6244  4 Tm 3.17-3.18, 3 Mg 3.21, 1 Y 3.32
Tl: 0.3768 0.3768 0.8697  3 Y 3.23, 4 Tm 3.25-3.50, 1 Mg 3.27
Tl: 0.6232 0.6232 0.1303  3 Y 3.23, 4 Tm 3.25-3.50, 1 Mg 3.27
Tl: 0.8748 0.8748 0.3756  4 Tm 3.17-3.18, 3 Mg 3.21, 1 Y 3.32
Tm: 0.7551 0.7551 0.7348  8 Tl 3.17-3.50
Tm: 0.2449 0.2449 0.2652  8 Tl 3.17-3.50
Y: 0.0000 0.0000 0.0000  8 Tl 3.23-3.32
Mg: 0.5000 0.5000 0.5000  8 Tl 3.21-3.27